CdRh2Au at its PBEsol-relaxed geometry. Source: Alexandria via LeMat-Bulk, functional SCAN.

Unit cell a=2.8051 b=2.8051 c=7.9110 alpha=90.00 beta=90.00 gamma=90.00
Last column: nearest neighbours and their distance in Å.
Fractional positions:
Cd  0.0000  0.0000  0.0000  4 Cd 2.81, 4 Rh 2.84, 4 Au 2.95
Rh  0.0000  0.0000  0.4689  8 Rh 2.60-2.81, 4 Au 2.83
Rh  0.5000  0.5000  0.2563  8 Rh 2.60-2.81, 4 Cd 2.84
Au  0.5000  0.5000  0.7237  4 Au 2.81, 4 Rh 2.83, 4 Cd 2.95

Computed properties:
- Energy of formation from the pure elements: -26 meV/atom
- Symmetry: P4mm (99)
- Density: 13.7 Mg/m³